No. 1
# AsIr2Se

A geometry-optimized AsIr2Se structure (GGA-PBE, Alexandria).

extended XYZ file:
```
4
Lattice="7.308 0.024 0.014 6.285 3.728 0.014 6.285 1.735 3.300" Properties=species:S:1:pos:R:3 pbc="T T T"
As 14.050 3.878 2.353
Ir 4.965 1.370 0.831
Ir 0.050 0.014 0.008
Se 10.753 2.968 1.801
```

Values from the calculation:
The calculation puts the energy relative to the lowest polymorph listed for this composition at 0.045 eV per atom. As for the symmetry: R3m (160). The uncorrected formation energy is 0.3 eV/f.u.

***

No. 2
# GeN2F6

A geometry-optimized GeN2F6 structure (GGA-PBE, Alexandria).

extended XYZ file:
```
18
Lattice="2.570 -4.452 0.000 2.570 4.452 0.000 0.000 0.000 10.153" Properties=species:S:1:pos:R:3 pbc="T T T"
F 2.570 -2.952 8.644
F 2.570 2.952 3.567
F 3.842 0.750 3.567
N 0.000 0.000 6.240
N 2.570 -1.484 3.778
F 3.842 -0.750 8.644
Ge 2.570 1.484 2.486
F 1.299 0.750 3.567
N 0.000 0.000 1.163
Ge 2.570 -1.484 7.562
N 2.570 1.484 8.854
F 3.833 -2.213 6.457
F 2.570 0.026 1.381
F 2.570 -0.026 6.457
F 1.307 2.213 1.381
F 1.307 -2.213 6.457
F 1.299 -0.750 8.644
F 3.833 2.213 1.381
```

Values from the calculation:
The calculation puts the energy relative to the lowest polymorph listed for this composition at 0.001 eV per atom. As for the symmetry: P6_3mc (186). The uncorrected formation energy is -1.2 eV/f.u.

***

No. 3
# CaTaTc2

A geometry-optimized CaTaTc2 structure (GGA-PBE, Alexandria).

extended XYZ file:
```
4
Lattice="4.609 0.000 0.000 2.304 3.991 0.000 2.304 1.330 3.763" Properties=species:S:1:pos:R:3 pbc="T T T"
Tc 0.000 0.000 0.000
Ta 6.913 3.991 2.822
Tc 2.304 1.330 0.941
Ca 4.609 2.661 1.881
```

Values from the calculation:
The calculation puts the energy relative to the lowest polymorph listed for this composition at 0.381 eV per atom. As for the symmetry: F-43m (216). Its energy of formation is 216.9 kJ/mol of formula units.

***

No. 4
# K3Tl3Cd8

A geometry-optimized K3Tl3Cd8 structure (GGA-PBE, Alexandria).

extended XYZ file:
```
14
Lattice="5.308 0.000 0.000 2.654 9.323 0.609 2.654 3.124 8.805" Properties=species:S:1:pos:R:3 pbc="T T T"
Tl 2.654 4.331 7.209
Cd 2.654 5.025 1.952
Cd 5.308 6.181 1.034
Cd 5.308 2.678 5.666
K 5.308 9.936 7.514
Tl 2.654 0.000 0.000
Cd 5.308 6.266 8.380
Cd 7.963 9.201 5.110
K 5.308 2.512 1.900
Cd 7.963 7.422 7.462
Cd 2.654 3.247 4.304
K 5.308 6.224 4.707
Cd 5.308 9.769 3.748
Tl 2.654 8.116 2.205
```

Values from the calculation:
As for the symmetry: Immm (71). Its energy of formation is -96.3 kJ/mol of formula units.

***

| no. | total energy (eV/atom) |
| --- | --- |
| 1 | -6.38 |
| 2 | -3.74 |
| 3 | -8.08 |
| 4 | -1.34 |